# 1
A plane-wave DFT calculation with PBE was carried out for a relaxed PuNpCu crystal.

Its energy of formation is 34.3 kJ per mole of atoms. As for the volume: 50.1 Å³/f.u.

Unit cell a=2.5527 b=5.1321 c=9.4400 alpha=57.94 beta=90.00 gamma=104.40
Last column: nearest neighbours and their distance in Å.
Sites, in units of the cell vectors:
Pu: 0.1396 0.2792 0.8987  3 Pu 2.35-2.55
Pu: 0.8604 0.7208 0.1013  3 Pu 2.35-2.55
Cu: 0.5323 0.0646 0.2327  2 Cu 2.55, 1 Pu 2.78
Cu: 0.4677 0.9354 0.7673  2 Cu 2.55, 1 Pu 2.78
Np: 0.8505 0.7009 0.5611  3 Np 2.53-2.55
Np: 0.1495 0.2991 0.4389  3 Np 2.53-2.55

***

# 2
A plane-wave DFT calculation with PBE was carried out for a relaxed PuNpCuRu crystal.

Its energy of formation is -1.7 kJ per mole of atoms. As for the volume: 65.8 Å³/f.u.

Unit cell a=4.5318 b=4.5318 c=4.5318 alpha=60.00 beta=60.00 gamma=60.00
Last column: nearest neighbours and their distance in Å.
Sites, in units of the cell vectors:
Np: 0.5000 0.5000 0.5000  4 Ru 2.78, 4 Pu 2.78
Ru: 0.2500 0.2500 0.2500  4 Cu 2.78, 4 Np 2.78
Cu: 0.0000 0.0000 0.0000  4 Pu 2.78, 4 Ru 2.78
Pu: 0.7500 0.7500 0.7500  4 Np 2.78, 4 Cu 2.78

***

# 3
A plane-wave DFT calculation with PBE was carried out for a relaxed Pu2NpCuS5 crystal.

As for the volume: 183.2 Å³/f.u. The calculation puts the electronic total energy at -157.3 eV/cell.

Unit cell a=3.8536 b=8.3152 c=11.7541 alpha=90.00 beta=90.00 gamma=103.40
Last column: nearest neighbours and their distance in Å.
Sites, in units of the cell vectors:
Pu: 0.8874 0.7747 0.8467  7 S 2.83-3.03
Pu: 0.1152 0.2303 0.6926  8 S 2.83-3.02
Pu: 0.1126 0.2253 0.3467  7 S 2.83-3.03
Pu: 0.8848 0.7697 0.1926  8 S 2.83-3.02
Np: 0.8138 0.6276 0.5253  6 S 2.66-2.73
Np: 0.1862 0.3724 0.0253  6 S 2.66-2.73
Cu: 0.5516 0.1031 0.9236  4 S 2.24-2.34
Cu: 0.4484 0.8969 0.4236  4 S 2.24-2.34
S: 0.3507 0.7014 0.0193  1 Np 2.66, 4 Pu 2.86
S: 0.6891 0.3782 0.8611  1 Cu 2.34
S: 0.4944 0.9888 0.7502  1 Cu 2.24
S: 0.3016 0.6032 0.6865  2 Np 2.71, 3 Pu 3.02-3.03
S: 0.9798 0.9596 0.5186  2 Cu 2.28
S: 0.6493 0.2986 0.5193  1 Np 2.66, 4 Pu 2.86
S: 0.3109 0.6218 0.3611  1 Cu 2.34
S: 0.5056 0.0112 0.2502  1 Cu 2.24
S: 0.6984 0.3968 0.1865  2 Np 2.71, 3 Pu 3.02-3.03
S: 0.0202 0.0404 0.0186  2 Cu 2.28

***

Question: Among the records above, which one has the lowest volume?
Answer: PuNpCu

***

Question: volume of number 2 (PuNpCuRu)?
Answer: 65.8 Å³/f.u.